Compound: Sm6DyMg2
Source: the Alexandria database
Functional: GGA-PBE
Structure: relaxed

As for the spin magnetization: 0.0 Bohr magnetons per cell. As for the crystal system: monoclinic. As for the polymorph energy (0 for the lowest one): 0.026 eV/atom. For the mass density, the calculation gives 6471 kg/m3. As for the density of states at the Fermi level: 1.247 states/eV per atom.

The structure belongs to space group C2/c (No. 15); the cell edges are 15.0667, 12.1164 and 6.3626 Å and the angles 90.00°, 100.32° and 90.00°. The asymmetric unit holds Sm at (0.0302, 0.1362, 0.0230), Sm at (0.1159, 0.3981, 0.2758), Sm at (0.1954, 0.2505, 0.7380), Dy at (0.0000, 0.3703, 0.7500) and Mg at (0.1926, 0.0213, 0.3966).